Compound: ZnSnSb2
Source: OQMD via LeMat-Bulk
Functional: PBE
Structure: optimized geometry

a = 7.4110 Å, b = 7.4110 Å, c = 7.4110 Å
α = 90.00°, β = 90.00°, γ = 90.00°
With the nearest neighbours (Å) after each atom.
Space group F-43m (No. 216)
Inequivalent atoms, fractional coordinates:
Zn1 0.0000 0.0000 0.0000 (multiplicity 4)  4 Sn 3.21, 4 Sb 3.21
Sn1 0.2500 0.2500 0.7500 (multiplicity 4)  4 Sb 3.21, 4 Zn 3.21
Sb1 0.0000 0.0000 0.5000 (multiplicity 4)  4 Sb 3.21, 4 Sn 3.21
Sb2 0.2500 0.2500 0.2500 (multiplicity 4)  4 Zn 3.21, 4 Sb 3.21

Properties
- Calculated total energy: -3.173 eV per atom
- Crystal system: cubic